Entry 1:
The following is a DFT calculation (PBE) of YHgPd after structural relaxation.

Unit cell a=6.6673 b=6.6673 c=6.6673 alpha=90.00 beta=90.00 gamma=90.00
Space group F-43m (No. 216)
Inequivalent atoms, fractional coordinates:
1 Y 0.0000 0.0000 0.0000 [4 per cell]
2 Hg 0.0000 0.0000 0.5000 [4 per cell]
3 Pd 0.2500 0.2500 0.2500 [4 per cell]

Output
Volume, Å³/cell: 296.4

---

Entry 2:
The following is a DFT calculation (PBE) of MnSn4Se5 after structural relaxation.

Unit cell a=9.3711 b=9.3711 c=6.0540 alpha=90.00 beta=90.00 gamma=90.00
Space group I4 (No. 79)
Inequivalent atoms, fractional coordinates:
1 Mn 0.0000 0.0000 0.0000 [2 per cell]
2 Sn 0.1031 0.2972 0.5328 [8 per cell]
3 Se 0.0000 0.0000 0.5669 [2 per cell]
4 Se 0.0959 0.2731 0.0500 [8 per cell]

Output
Formation energy without anion corrections, meV/atom: -404
Volume, Å³/cell: 531.6

---

Entry 3:
The following is a DFT calculation (PBE) of Ac2SeS after structural relaxation.

Unit cell a=4.2879 b=4.2879 c=22.8636 alpha=90.00 beta=90.00 gamma=120.00
Space group R3m (No. 160, hexagonal axes)
Inequivalent atoms, fractional coordinates:
1 Ac 0.0000 0.0000 0.0000 [3 per cell]
2 Ac 0.0000 0.0000 0.1827 [3 per cell]
3 Se 0.0000 0.0000 0.7588 [3 per cell]
4 S 0.0000 0.0000 0.5897 [3 per cell]

Output
Formation energy without anion corrections, meV/atom: -1886
Volume, Å³/cell: 364.1
E above lowest polymorph, eV per atom: 0.0552

---

Entry 4:
The following is a DFT calculation (PBE) of Rb2Mo2H after structural relaxation.

Unit cell a=3.5421 b=3.5421 c=20.9123 alpha=90.00 beta=90.00 gamma=90.00
Space group I4/mmm (No. 139)
Inequivalent atoms, fractional coordinates:
1 Rb 0.0000 0.0000 0.0843 [4 per cell]
2 Mo 0.0000 0.5000 0.2500 [4 per cell]
3 H 0.0000 0.0000 0.5000 [2 per cell]

Output
Volume, Å³/cell: 262.4

---

Going through the records in order, we get raw total energy values of -54.81 -93.28 -70.12 -47.00 eV for the cell shown.